[1]
The following is a PBE-GGA calculation of a relaxed structure of SrNiB, from the Open Quantum Materials Database.

extended XYZ file:
```
3
Lattice="0.000 3.054 3.054 3.054 0.000 3.054 3.054 3.054 0.000" Properties=species:S:1:pos:R:3 pbc="T T T"
Ni 1.527 1.527 1.527
B 0.000 0.000 0.000
Sr 4.581 4.581 4.581
```

symmetry = F-43m

[2]
The following is a PBE-GGA calculation of a relaxed structure of SrNiB, from the Open Quantum Materials Database.

extended XYZ file:
```
3
Lattice="0.000 3.300 3.300 3.300 0.000 3.300 3.300 3.300 0.000" Properties=species:S:1:pos:R:3 pbc="T T T"
B 1.650 1.650 1.650
Ni 4.949 4.949 4.949
Sr 0.000 0.000 0.000
```

symmetry = F-43m

[3]
The following is a PBE-GGA calculation of a relaxed structure of TaNiB2, from the Open Quantum Materials Database.

extended XYZ file:
```
4
Lattice="1.838 0.836 3.369 3.593 -1.430 0.684 3.104 2.406 -0.001" Properties=species:S:1:pos:R:3 pbc="T T T"
B 0.000 0.000 0.000
Ni 2.134 0.453 1.013
B 6.401 1.359 3.039
Ta 4.268 0.906 2.026
```

symmetry = F-43m

Calculated total DFT energy (no corrections), -3.816 -3.069 -6.948 eV/atom (same order as the records).